1) Zr2TlIr | GGA-PBE | relaxed

The structure in CIF format:
```
data_Zr2TlIr
_space_group_name_H-M_alt 'P 1'
_space_group_IT_number 1
_space_group_name_Hall 'P 1'
_cell_length_a 9.522
_cell_length_b 9.522
_cell_length_c 9.522
_cell_angle_alpha 19.76
_cell_angle_beta 19.76
_cell_angle_gamma 19.76
loop_
_atom_site_label
_atom_site_type_symbol
_atom_site_fract_x
_atom_site_fract_y
_atom_site_fract_z
Zr1 Zr 0.000 0.000 0.000
Zr2 Zr 0.243 0.243 0.243
Tl1 Tl 0.485 0.485 0.485
Ir1 Ir 0.736 0.736 0.736
```

Calculated values
Space group: R3m
V (A^3/atom): 21.57
N(E_F) (states/eV per atom): 0.889

***

2) Zr2TlIr | GGA-PBE | relaxed

The structure in CIF format:
```
data_Zr2TlIr
_space_group_name_H-M_alt 'P 1'
_space_group_IT_number 1
_space_group_name_Hall 'P 1'
_cell_length_a 3.704
_cell_length_b 3.704
_cell_length_c 8.308
_cell_angle_alpha 100.98
_cell_angle_beta 100.98
_cell_angle_gamma 56.80
loop_
_atom_site_label
_atom_site_type_symbol
_atom_site_fract_x
_atom_site_fract_y
_atom_site_fract_z
Zr1 Zr 0.234 0.234 0.200
Zr2 Zr 0.766 0.766 0.800
Tl1 Tl 0.000 0.000 0.500
Ir1 Ir 0.500 0.500 0.000
```

Calculated values
Space group: C2/m
V (A^3/atom): 23.27
N(E_F) (states/eV per atom): 0.964

***

How do the energies compare? Relative to the most stable structure, in meV/atom: 1) 263; 2) 0.

***

1) Zr2TlIr | GGA-PBE | relaxed

The structure in CIF format:
```
data_Zr2TlIr
_space_group_name_H-M_alt 'P 1'
_space_group_IT_number 1
_space_group_name_Hall 'P 1'
_cell_length_a 4.872
_cell_length_b 4.872
_cell_length_c 4.872
_cell_angle_alpha 60.00
_cell_angle_beta 60.00
_cell_angle_gamma 60.00
loop_
_atom_site_label
_atom_site_type_symbol
_atom_site_fract_x
_atom_site_fract_y
_atom_site_fract_z
Zr1 Zr 0.250 0.250 0.250
Zr2 Zr 0.750 0.750 0.750
Tl1 Tl 0.000 0.000 0.000
Ir1 Ir 0.500 0.500 0.500
```

Calculated values
Space group: Fm-3m
V (A^3/atom): 20.44
N(E_F) (states/eV per atom): 0.923

***

2) Zr2TlIr | GGA-PBE | relaxed

The structure in CIF format:
```
data_Zr2TlIr
_space_group_name_H-M_alt 'P 1'
_space_group_IT_number 1
_space_group_name_Hall 'P 1'
_cell_length_a 4.393
_cell_length_b 5.793
_cell_length_c 5.793
_cell_angle_alpha 35.18
_cell_angle_beta 90.00
_cell_angle_gamma 90.00
loop_
_atom_site_label
_atom_site_type_symbol
_atom_site_fract_x
_atom_site_fract_y
_atom_site_fract_z
Zr1 Zr 0.000 0.000 0.000
Zr2 Zr 0.500 0.310 0.310
Tl1 Tl 0.000 0.724 0.724
Ir1 Ir 0.500 0.545 0.545
```

Calculated values
Space group: Amm2
V (A^3/atom): 21.24
N(E_F) (states/eV per atom): 0.599

***

3) Zr2TlIr | GGA-PBE | relaxed

The structure in CIF format:
```
data_Zr2TlIr
_space_group_name_H-M_alt 'P 1'
_space_group_IT_number 1
_space_group_name_Hall 'P 1'
_cell_length_a 4.479
_cell_length_b 4.479
_cell_length_c 4.007
_cell_angle_alpha 90.00
_cell_angle_beta 90.00
_cell_angle_gamma 90.00
loop_
_atom_site_label
_atom_site_type_symbol
_atom_site_fract_x
_atom_site_fract_y
_atom_site_fract_z
Zr1 Zr 0.000 0.500 0.000
Zr2 Zr 0.500 0.000 0.000
Tl1 Tl 0.000 0.000 0.500
Ir1 Ir 0.500 0.500 0.500
```

Calculated values
Space group: P4/mmm
V (A^3/atom): 20.10
N(E_F) (states/eV per atom): 1.115

***

How do the energies compare? Relative to the most stable structure, in meV/atom: 1) 123; 2) 0; 3) 73.

***

1) Zr2TlIr | GGA-PBE | relaxed

The structure in CIF format:
```
data_Zr2TlIr
_space_group_name_H-M_alt 'P 1'
_space_group_IT_number 1
_space_group_name_Hall 'P 1'
_cell_length_a 3.398
_cell_length_b 3.398
_cell_length_c 7.231
_cell_angle_alpha 90.00
_cell_angle_beta 90.00
_cell_angle_gamma 90.00
loop_
_atom_site_label
_atom_site_type_symbol
_atom_site_fract_x
_atom_site_fract_y
_atom_site_fract_z
Zr1 Zr 0.000 0.000 0.000
Zr2 Zr 0.500 0.500 0.289
Tl1 Tl 0.500 0.500 0.728
Ir1 Ir 0.000 0.000 0.480
```

Calculated values
Space group: P4mm
V (A^3/atom): 20.87
N(E_F) (states/eV per atom): 0.781

***

2) Zr2TlIr | GGA-PBE | relaxed

The structure in CIF format:
```
data_Zr2TlIr
_space_group_name_H-M_alt 'P 1'
_space_group_IT_number 1
_space_group_name_Hall 'P 1'
_cell_length_a 5.591
_cell_length_b 5.591
_cell_length_c 5.591
_cell_angle_alpha 136.82
_cell_angle_beta 136.82
_cell_angle_gamma 62.72
loop_
_atom_site_label
_atom_site_type_symbol
_atom_site_fract_x
_atom_site_fract_y
_atom_site_fract_z
Zr1 Zr 0.000 0.000 0.000
Zr2 Zr 0.750 0.250 0.500
Tl1 Tl 0.500 0.500 0.000
Ir1 Ir 0.250 0.750 0.500
```

Calculated values
Space group: I-4m2
V (A^3/atom): 20.21
N(E_F) (states/eV per atom): 0.846

***

3) Zr2TlIr | GGA-PBE | relaxed

The structure in CIF format:
```
data_Zr2TlIr
_space_group_name_H-M_alt 'P 1'
_space_group_IT_number 1
_space_group_name_Hall 'P 1'
_cell_length_a 5.195
_cell_length_b 5.195
_cell_length_c 5.195
_cell_angle_alpha 133.39
_cell_angle_beta 124.36
_cell_angle_gamma 75.45
loop_
_atom_site_label
_atom_site_type_symbol
_atom_site_fract_x
_atom_site_fract_y
_atom_site_fract_z
Zr1 Zr 0.227 0.227 0.000
Zr2 Zr 0.773 0.773 0.000
Tl1 Tl 0.500 0.000 0.500
Ir1 Ir 0.000 0.500 0.500
```

Calculated values
Space group: Immm
V (A^3/atom): 20.47
N(E_F) (states/eV per atom): 1.029

***

How do the energies compare? Relative to the most stable structure, in meV/atom: 1) 60; 2) 46; 3) 0.